Entry 1:
A plane-wave DFT calculation with PBE was carried out for GaAgClF6 after structural relaxation.

a b c (Å): 5.888 5.888 5.157
angles (deg): 80.21 99.78 59.75
Each line ends with the local moment (μB).
Atoms (fractional coordinates):
1 F 0.289 0.673 0.284  0.03
2 F 0.502 0.150 0.266  0.06
3 F 0.952 0.445 0.288  0.12
4 F 0.150 0.502 0.734  0.06
5 F 0.673 0.289 0.715  0.03
6 F 0.445 0.952 0.712  0.12
7 Ag 0.692 0.692 0.500  0.51
8 Cl 0.978 0.978 0.000  0.09
9 Ga 0.320 0.320 0.500  0.00

Properties
Total moment (μB/f.u.): 1.1
Energy (eV per atom): -3.621
Uncorrected formation energy (meV per atom): -1515

***

Entry 2:
A plane-wave DFT calculation with PBE was carried out for Cr2Ir4Ru after structural relaxation.

a b c (Å): 4.172 5.131 5.131
angles (deg): 73.66 90.00 90.00
Atoms (fractional coordinates):
1 Cr 0.000 0.185 0.815
2 Cr 0.000 0.815 0.185
3 Ru 0.500 0.500 0.500
4 Ir 0.500 0.500 0.000
5 Ir 0.000 0.296 0.296
6 Ir 0.000 0.704 0.704
7 Ir 0.500 0.000 0.500

Properties
Total moment (μB/f.u.): 0.0
Energy (eV per atom): -8.775
ΔH_f (0 K) (eV per atom): 0.363

***

Entry 3:
A plane-wave DFT calculation with PBE was carried out for NaScIr2 after structural relaxation.

a b c (Å): 4.538 4.538 4.538
angles (deg): 60.00 60.00 60.00
Atoms (fractional coordinates):
1 Ir 0.750 0.750 0.750
2 Ir 0.250 0.250 0.250
3 Na 0.000 0.000 0.000
4 Sc 0.500 0.500 0.500

Properties
Distance to the lowest polymorph of the same formula (eV per atom): 0.0000
Total moment (μB/f.u.): 0.0
Energy (eV per atom): -6.408
ΔH_f (0 K) (eV per atom): -0.065

***

Entry 4:
A plane-wave DFT calculation with PBE was carried out for AlGaW3 after structural relaxation.

a b c (Å): 4.579 4.579 4.579
angles (deg): 90.00 90.00 90.00
Atoms (fractional coordinates):
1 W 0.500 0.000 0.000
2 W 0.000 0.000 0.500
3 W 0.000 0.500 0.000
4 Ga 0.000 0.000 0.000
5 Al 0.500 0.500 0.500

Properties
Distance to the lowest polymorph of the same formula (eV per atom): 0.0000
Total moment (μB/f.u.): 0.0
Energy (eV per atom): -7.362
ΔH_f (0 K) (eV per atom): 1.764

***

Entry 5:
A plane-wave DFT calculation with PBE was carried out for PuFe2B2 after structural relaxation.

a b c (Å): 3.035 4.032 5.112
angles (deg): 103.61 107.27 90.00
Each line ends with the local moment (μB).
Atoms (fractional coordinates):
1 Fe 0.662 0.578 0.324  -1.27
2 Fe 0.338 0.422 0.676  -1.27
3 B 0.736 0.115 0.472  0.03
4 B 0.264 0.885 0.528  0.03
5 Pu 0.000 0.000 0.000  4.80

Properties
Total moment (μB/f.u.): 2.5
Energy (eV per atom): -9.175
ΔH_f (0 K) (eV per atom): -0.252

***

Entry 6:
A plane-wave DFT calculation with PBE was carried out for ZnSi3C after structural relaxation.

a b c (Å): 4.076 4.076 4.076
angles (deg): 90.00 90.00 90.00
Atoms (fractional coordinates):
1 Si 0.000 0.500 0.000
2 Si 0.500 0.000 0.000
3 Si 0.000 0.000 0.500
4 Zn 0.500 0.500 0.500
5 C 0.000 0.000 0.000

Properties
Distance to the lowest polymorph of the same formula (eV per atom): 0.0000
Total moment (μB/f.u.): 0.0
Energy (eV per atom): -4.466
Uncorrected formation energy (meV per atom): 887

***

Entry 7:
A plane-wave DFT calculation with PBE was carried out for La4Co2Cl after structural relaxation.

a b c (Å): 4.057 4.057 14.355
angles (deg): 81.87 81.87 60.00
Atoms (fractional coordinates):
1 Co 0.577 0.577 0.269
2 Co 0.423 0.423 0.731
3 La 0.876 0.876 0.372
4 La 0.124 0.124 0.628
5 La 0.279 0.279 0.162
6 La 0.721 0.721 0.838
7 Cl 0.000 0.000 0.000

Properties
Total moment (μB/f.u.): 0.0
Energy (eV per atom): -5.682
Uncorrected formation energy (meV per atom): -573

***

Entry 8:
A plane-wave DFT calculation with PBE was carried out for KSc4P after structural relaxation.

a b c (Å): 6.095 6.095 6.095
angles (deg): 60.00 60.00 60.00
Atoms (fractional coordinates):
1 Sc 0.374 0.878 0.374
2 Sc 0.374 0.374 0.878
3 Sc 0.374 0.374 0.374
4 Sc 0.878 0.374 0.374
5 K 0.750 0.750 0.750
6 P 0.000 0.000 0.000

Properties
Total moment (μB/f.u.): 0.0
Energy (eV per atom): -4.734
ΔH_f (0 K) (eV per atom): 0.571

***

Entry 9:
A plane-wave DFT calculation with PBE was carried out for ScCdCu2 after structural relaxation.

a b c (Å): 3.209 3.211 6.596
angles (deg): 90.00 90.00 90.00
Atoms (fractional coordinates):
1 Cu 0.000 0.000 0.036
2 Cu 0.500 0.500 0.219
3 Sc 0.000 0.000 0.457
4 Cd 0.500 0.500 0.788

Properties
Total moment (μB/f.u.): 0.0
Energy (eV per atom): -3.976
ΔH_f (0 K) (eV per atom): -0.116

***

Entry 10:
A plane-wave DFT calculation with PBE was carried out for K2Np3AgSe8 after structural relaxation.

a b c (Å): 8.232 8.232 9.504
angles (deg): 64.34 64.34 60.00
Each line ends with the local moment (μB).
Atoms (fractional coordinates):
1 Se 0.751 0.276 0.221  -0.16
2 Se 0.702 0.228 0.843  -0.15
3 Se 0.228 0.702 0.843  -0.15
4 Se 0.262 0.262 0.213  -0.12
5 Se 0.720 0.720 0.840  -0.14
6 Se 0.751 0.751 0.221  -0.16
7 Se 0.228 0.228 0.843  -0.15
8 Se 0.276 0.751 0.221  -0.16
9 Ag 0.980 0.980 0.061  -0.07
10 Np 0.492 0.492 0.030  3.20
11 Np 0.987 0.492 0.030  3.20
12 Np 0.492 0.987 0.030  3.20
13 K 0.135 0.135 0.596  0.00
14 K 0.489 0.489 0.532  0.00

Properties
Total moment (μB/f.u.): 8.0
Energy (eV per atom): -6.113
Uncorrected formation energy (meV per atom): -988

***

Entry 11:
A plane-wave DFT calculation with PBE was carried out for RbNa6Hg2 after structural relaxation.

a b c (Å): 5.097 5.097 12.606
angles (deg): 90.00 90.00 90.00
Atoms (fractional coordinates):
1 Na 0.500 0.000 0.281
2 Na 0.500 0.500 0.500
3 Na 0.000 0.500 0.281
4 Na 0.000 0.500 0.719
5 Na 0.000 0.000 0.500
6 Na 0.500 0.000 0.719
7 Rb 0.000 0.000 0.000
8 Hg 0.500 0.500 0.120
9 Hg 0.500 0.500 0.880

Properties
Total moment (μB/f.u.): 0.0
Energy (eV per atom): -1.155
ΔH_f (0 K) (eV per atom): -0.101

***

Entry 12:
A plane-wave DFT calculation with PBE was carried out for MgTi2Tl after structural relaxation.

a b c (Å): 4.390 4.166 4.166
angles (deg): 90.00 90.00 90.00
Atoms (fractional coordinates):
1 Ti 0.000 0.000 0.500
2 Ti 0.000 0.500 0.000
3 Tl 0.500 0.000 0.000
4 Mg 0.500 0.500 0.500

Properties
Total moment (μB/f.u.): 0.0
Energy (eV per atom): -4.868
ΔH_f (0 K) (eV per atom): 0.069

***

Entry 13:
A plane-wave DFT calculation with PBE was carried out for Cs4Mn after structural relaxation.

a b c (Å): 7.813 7.813 7.813
angles (deg): 90.00 90.00 90.00
Each line ends with the local moment (μB).
Atoms (fractional coordinates):
1 Cs 0.000 0.000 0.000  0.00
2 Cs 0.500 0.500 0.000  0.00
3 Cs 0.000 0.500 0.500  0.00
4 Cs 0.500 0.000 0.500  0.00
5 Mn 0.500 0.500 0.500  4.25

Properties
Total moment (μB/f.u.): 4.6
Energy (eV per atom): -1.965
ΔH_f (0 K) (eV per atom): 0.551

***

Entry 14:
A plane-wave DFT calculation with PBE was carried out for Tb2Nd2Er3 after structural relaxation.

a b c (Å): 3.502 8.726 8.546
angles (deg): 115.71 101.82 90.00
Atoms (fractional coordinates):
1 Er 0.000 0.500 0.000
2 Er 0.220 0.646 0.441
3 Er 0.780 0.354 0.559
4 Nd 0.080 0.203 0.160
5 Nd 0.920 0.797 0.840
6 Tb 0.361 0.093 0.721
7 Tb 0.639 0.907 0.279

Properties
Distance to the lowest polymorph of the same formula (eV per atom): 0.0000
Total moment (μB/f.u.): 0.0
Energy (eV per atom): -4.507
ΔH_f (0 K) (eV per atom): 0.133

***

Entry 15:
A plane-wave DFT calculation with PBE was carried out for CuPCl2F after structural relaxation.

a b c (Å): 5.311 5.311 3.561
angles (deg): 90.00 90.00 90.00
Atoms (fractional coordinates):
1 Cu 0.500 0.500 0.500
2 F 0.000 0.000 0.000
3 Cl 0.000 0.500 0.000
4 Cl 0.500 0.000 0.000
5 P 0.000 0.000 0.500

Properties
Distance to the lowest polymorph of the same formula (eV per atom): 0.0221
Total moment (μB/f.u.): 0.0
Energy (eV per atom): -2.763
Uncorrected formation energy (meV per atom): 251

***

Entry 16:
A plane-wave DFT calculation with PBE was carried out for TiFePt14 after structural relaxation.

a b c (Å): 5.610 5.610 7.840
angles (deg): 90.00 90.00 90.00
Each line ends with the local moment (μB).
Atoms (fractional coordinates):
1 Pt 0.125 0.125 0.742  0.13
2 Pt 0.125 0.125 0.258  0.13
3 Pt 0.875 0.375 0.000  0.11
4 Pt 0.875 0.375 0.500  0.16
5 Pt 0.375 0.875 0.500  0.16
6 Pt 0.875 0.875 0.000  0.00
7 Pt 0.625 0.125 0.258  0.13
8 Pt 0.375 0.875 0.000  0.11
9 Pt 0.125 0.625 0.742  0.13
10 Pt 0.125 0.625 0.258  0.13
11 Pt 0.625 0.625 0.258  0.13
12 Pt 0.375 0.375 0.000  0.06
13 Pt 0.625 0.125 0.742  0.13
14 Pt 0.625 0.625 0.742  0.13
15 Fe 0.375 0.375 0.500  3.26
16 Ti 0.875 0.875 0.500  -0.03

Properties
Total moment (μB/f.u.): 4.9
Energy (eV per atom): -6.604
ΔH_f (0 K) (eV per atom): -0.296

***

Entry 17:
A plane-wave DFT calculation with PBE was carried out for Ac4AgSn2 after structural relaxation.

a b c (Å): 8.742 8.742 8.742
angles (deg): 110.58 110.58 107.28
Atoms (fractional coordinates):
1 Ac 0.877 0.618 0.110
2 Ac 0.017 0.257 0.390
3 Ac 0.382 0.493 0.260
4 Ac 0.507 0.767 0.890
5 Ac 0.868 0.627 0.610
6 Ac 0.373 0.983 0.240
7 Ac 0.233 0.123 0.740
8 Ac 0.742 0.132 0.760
9 Sn 0.503 0.375 0.628
10 Sn 0.747 0.875 0.372
11 Sn 0.125 0.497 0.872
12 Sn 0.625 0.253 0.128
13 Ag 0.001 0.001 0.000
14 Ag 0.250 0.750 0.500

Properties
Distance to the lowest polymorph of the same formula (eV per atom): 0.0000
Total moment (μB/f.u.): 0.0
Energy (eV per atom): -4.375
ΔH_f (0 K) (eV per atom): -0.477

***

Entry 18:
A plane-wave DFT calculation with PBE was carried out for Mn2CoH2 after structural relaxation.

a b c (Å): 3.157 3.157 4.458
angles (deg): 69.26 69.26 90.00
Each line ends with the local moment (μB).
Atoms (fractional coordinates):
1 Mn 0.342 0.342 0.315  -1.18
2 Mn 0.658 0.658 0.685  -1.18
3 H 0.250 0.750 0.500  0.02
4 H 0.750 0.250 0.500  0.02
5 Co 0.000 0.000 0.000  1.48

Properties
Distance to the lowest polymorph of the same formula (eV per atom): 0.0107
Total moment (μB/f.u.): 0.9
Energy (eV per atom): -6.229

***

Entry 19:
A plane-wave DFT calculation with PBE was carried out for Pa2PSe3 after structural relaxation.

a b c (Å): 3.867 7.915 10.209
angles (deg): 110.75 100.92 90.00
Each line ends with the local moment (μB).
Atoms (fractional coordinates):
1 Se 0.319 0.055 0.639  0.00
2 Se 0.974 0.161 0.949  -0.01
3 Se 0.406 0.485 0.812  0.00
4 Se 0.026 0.839 0.051  -0.01
5 Se 0.681 0.945 0.361  0.00
6 Se 0.594 0.515 0.188  0.00
7 P 0.196 0.315 0.391  0.00
8 P 0.804 0.685 0.609  0.00
9 Pa 0.411 0.845 0.821  0.08
10 Pa 0.589 0.155 0.179  0.08
11 Pa 0.203 0.687 0.405  0.01
12 Pa 0.797 0.313 0.595  0.01

Properties
Distance to the lowest polymorph of the same formula (eV per atom): 0.0000
Total moment (μB/f.u.): 0.1
Energy (eV per atom): -7.077
Uncorrected formation energy (meV per atom): -1268

***

Entry 20:
A plane-wave DFT calculation with PBE was carried out for HfTaFeOs after structural relaxation.

a b c (Å): 3.155 3.155 6.401
angles (deg): 90.00 90.00 90.00
Each line ends with the local moment (μB).
Atoms (fractional coordinates):
1 Hf 0.000 0.000 0.849  -0.11
2 Ta 0.000 0.000 0.367  -0.11
3 Os 0.500 0.500 0.117  0.03
4 Fe 0.500 0.500 0.596  1.19

Properties
Total moment (μB/f.u.): 0.9
Energy (eV per atom): -10.750
ΔH_f (0 K) (eV per atom): -0.375